# Er8CoCu2 (PBE-GGA, optimized geometry)
# Calculated formation energy, eV per atom: -0.09
# Density of states at the Fermi level, states/eV/atom: 0.789
# Size of the total moment, μB per formula unit: 0.00
data_Er8CoCu2
_chemical_formula_sum 'Er16 Co2 Cu4'
_cell_length_a 6.815
_cell_length_b 16.795
_cell_length_c 5.603
_cell_angle_alpha 90.00
_cell_angle_beta 119.46
_cell_angle_gamma 90.00
_symmetry_space_group_name_H-M 'C 1 2/m 1'
_symmetry_Int_Tables_number 12
loop_
_symmetry_equiv_pos_as_xyz
'x,y,z'
'-x,-y,-z'
'-x,y,-z'
'x,-y,z'
'x+1/2,y+1/2,z'
'-x+1/2,-y+1/2,-z'
'-x+1/2,y+1/2,-z'
'x+1/2,-y+1/2,z'
loop_
_atom_site_label
_atom_site_fract_x
_atom_site_fract_y
_atom_site_fract_z
Er1 0.000 0.206 0.000
Er2 0.209 0.385 0.383
Er3 0.246 0.000 0.067
Co1 0.000 0.000 0.500
Cu1 0.000 0.254 0.500

---

# Mg2AsRu (PBE-GGA, optimized geometry)
# Calculated formation energy, eV per atom: -0.13
# Density of states at the Fermi level, states/eV/atom: 1.063
# Size of the total moment, μB per formula unit: 0.00
data_Mg2AsRu
_chemical_formula_sum 'Mg4 As2 Ru2'
_cell_length_a 3.972
_cell_length_b 3.972
_cell_length_c 8.295
_cell_angle_alpha 90.00
_cell_angle_beta 90.00
_cell_angle_gamma 90.00
_symmetry_space_group_name_H-M 'I -4 m 2'
_symmetry_Int_Tables_number 119
_symmetry_space_group_name_Hall 'I -4 -2'
loop_
_atom_site_label
_atom_site_fract_x
_atom_site_fract_y
_atom_site_fract_z
Mg1 0.000 0.000 0.000
Mg2 0.000 0.500 0.250
As1 0.000 0.000 0.500
Ru1 0.000 0.500 0.750

---

# Na2CeTmSe4 (PBE-GGA, optimized geometry)
# Density of states at the Fermi level, states/eV/atom: 0.726
# Size of the total moment, μB per formula unit: 1.01
# Raw total energy, eV/atom: -5.02
data_Na2CeTmSe4
_chemical_formula_sum 'Na2 Ce1 Tm1 Se4'
_cell_length_a 7.280
_cell_length_b 4.199
_cell_length_c 7.393
_cell_angle_alpha 90.00
_cell_angle_beta 109.14
_cell_angle_gamma 90.00
_symmetry_space_group_name_H-M 'P 1 2/m 1'
_symmetry_Int_Tables_number 10
loop_
_symmetry_equiv_pos_as_xyz
'x,y,z'
'-x,-y,-z'
'-x,y,-z'
'x,-y,z'
loop_
_atom_site_label
_atom_site_fract_x
_atom_site_fract_y
_atom_site_fract_z
Na1 0.000 0.000 0.000
Na2 0.500 0.500 0.000
Ce1 0.000 0.500 0.500
Tm1 0.500 0.000 0.500
Se1 0.255 0.000 0.734
Se2 0.267 0.500 0.271

---

# Cd4GaPb (PBE-GGA, optimized geometry)
# Calculated formation energy, eV per atom: 0.07
# Density of states at the Fermi level, states/eV/atom: 0.383
# Size of the total moment, μB per formula unit: 0.00
data_Cd4GaPb
_chemical_formula_sum 'Cd4 Ga1 Pb1'
_cell_length_a 3.232
_cell_length_b 4.930
_cell_length_c 9.283
_cell_angle_alpha 90.00
_cell_angle_beta 90.50
_cell_angle_gamma 90.00
_symmetry_space_group_name_H-M 'P 1 2/m 1'
_symmetry_Int_Tables_number 10
loop_
_symmetry_equiv_pos_as_xyz
'x,y,z'
'-x,-y,-z'
'-x,y,-z'
'x,-y,z'
loop_
_atom_site_label
_atom_site_fract_x
_atom_site_fract_y
_atom_site_fract_z
Cd1 0.001 0.000 0.334
Cd2 0.491 0.500 0.216
Ga1 0.000 0.500 0.500
Pb1 0.500 0.000 0.000

---

# Tc2GeS (PBE-GGA, optimized geometry)
# Density of states at the Fermi level, states/eV/atom: 0.733
# Size of the total moment, μB per formula unit: 0.00
# Raw total energy, eV/atom: -7.30
data_Tc2GeS
_chemical_formula_sum 'Tc8 Ge4 S4'
_cell_length_a 6.056
_cell_length_b 6.056
_cell_length_c 6.056
_cell_angle_alpha 90.00
_cell_angle_beta 90.00
_cell_angle_gamma 90.00
_symmetry_space_group_name_H-M 'F m -3 m'
_symmetry_Int_Tables_number 225
_symmetry_space_group_name_Hall '-F 4 2 3'
loop_
_atom_site_label
_atom_site_fract_x
_atom_site_fract_y
_atom_site_fract_z
Tc1 0.250 0.250 0.250
Ge1 0.000 0.000 0.000
S1 0.000 0.000 0.500

---

# Rb3Sb3Au8 (PBE-GGA, optimized geometry)
# Density of states at the Fermi level, states/eV/atom: 0.453
# Size of the total moment, μB per formula unit: 0.00
# Raw total energy, eV/atom: -3.07
data_Rb3Sb3Au8
_chemical_formula_sum 'Rb6 Sb6 Au16'
_cell_length_a 5.059
_cell_length_b 10.233
_cell_length_c 14.226
_cell_angle_alpha 90.00
_cell_angle_beta 90.00
_cell_angle_gamma 90.00
_symmetry_space_group_name_H-M 'I m m m'
_symmetry_Int_Tables_number 71
_symmetry_space_group_name_Hall '-I 2 2'
loop_
_atom_site_label
_atom_site_fract_x
_atom_site_fract_y
_atom_site_fract_z
Rb1 0.000 0.000 0.000
Rb2 0.000 0.000 0.288
Sb1 0.000 0.216 0.500
Sb2 0.000 0.500 0.000
Au1 0.000 0.295 0.139
Au2 0.000 0.352 0.334

---

# Pr2SmTmO6 (PBE-GGA, optimized geometry)
# Density of states at the Fermi level, states/eV/atom: 0.000
# Size of the total moment, μB per formula unit: 0.00
# Raw total energy, eV/atom: -8.24
data_Pr2SmTmO6
_chemical_formula_sum 'Pr6 Sm3 Tm3 O18'
_cell_length_a 6.0090
_cell_length_b 6.0090
_cell_length_c 15.3900
_cell_angle_alpha 90.00
_cell_angle_beta 90.00
_cell_angle_gamma 120.00
_symmetry_space_group_name_H-M 'R 3'
_symmetry_Int_Tables_number 146
_symmetry_space_group_name_Hall 'R 3'
loop_
_atom_site_label
_atom_site_fract_x
_atom_site_fract_y
_atom_site_fract_z
Pr1 0.0000 0.0000 0.0000
Pr2 0.0000 0.0000 0.4981
Sm1 0.0000 0.0000 0.2228
Tm1 0.0000 0.0000 0.7187
O1 0.0540 0.3572 0.7824
O2 0.0596 0.6855 0.2849

---

# TlSbTe2 (PBE-GGA, optimized geometry)
# Density of states at the Fermi level, states/eV/atom: 0.792
# Size of the total moment, μB per formula unit: 0.00
# Raw total energy, eV/atom: -3.05
data_TlSbTe2
_chemical_formula_sum 'Tl2 Sb2 Te4'
_cell_length_a 4.592
_cell_length_b 4.592
_cell_length_c 11.599
_cell_angle_alpha 90.00
_cell_angle_beta 90.00
_cell_angle_gamma 90.00
_symmetry_space_group_name_H-M 'I -4 m 2'
_symmetry_Int_Tables_number 119
_symmetry_space_group_name_Hall 'I -4 -2'
loop_
_atom_site_label
_atom_site_fract_x
_atom_site_fract_y
_atom_site_fract_z
Tl1 0.000 0.000 0.000
Sb1 0.000 0.500 0.750
Te1 0.000 0.000 0.500
Te2 0.000 0.500 0.250

---

# LiDy6In5 (PBE-GGA, optimized geometry)
# Calculated formation energy, eV per atom: -0.42
# Density of states at the Fermi level, states/eV/atom: 0.660
# Size of the total moment, μB per formula unit: 0.00
data_LiDy6In5
_chemical_formula_sum 'Li2 Dy12 In10'
_cell_length_a 5.320
_cell_length_b 16.010
_cell_length_c 7.414
_cell_angle_alpha 90.00
_cell_angle_beta 90.00
_cell_angle_gamma 90.00
_symmetry_space_group_name_H-M 'C m m m'
_symmetry_Int_Tables_number 65
_symmetry_space_group_name_Hall '-C 2 2'
loop_
_atom_site_label
_atom_site_fract_x
_atom_site_fract_y
_atom_site_fract_z
Li1 0.000 0.000 0.000
Dy1 0.000 0.167 0.247
Dy2 0.000 0.500 0.252
In1 0.000 0.000 0.500
In2 0.000 0.333 0.500
In3 0.000 0.342 0.000

---

# Sm2Ga4Ir5 (PBE-GGA, optimized geometry)
# Calculated formation energy, eV per atom: -0.63
# Density of states at the Fermi level, states/eV/atom: 0.510
# Size of the total moment, μB per formula unit: 0.00
data_Sm2Ga4Ir5
_chemical_formula_sum 'Sm8 Ga16 Ir20'
_cell_length_a 5.694
_cell_length_b 9.583
_cell_length_c 15.071
_cell_angle_alpha 90.00
_cell_angle_beta 90.00
_cell_angle_gamma 90.00
_symmetry_space_group_name_H-M 'F m m m'
_symmetry_Int_Tables_number 69
_symmetry_space_group_name_Hall '-F 2 2'
loop_
_atom_site_label
_atom_site_fract_x
_atom_site_fract_y
_atom_site_fract_z
Sm1 0.000 0.000 0.121
Ga1 0.000 0.157 0.369
Ir1 0.000 0.000 0.500
Ir2 0.250 0.250 0.000
Ir3 0.250 0.250 0.250

---

# Rb4Ag3PbBr12 (PBE-GGA, optimized geometry)
# Density of states at the Fermi level, states/eV/atom: 0.404
# Size of the total moment, μB per formula unit: 0.00
# Raw total energy, eV/atom: -2.75
data_Rb4Ag3PbBr12
_chemical_formula_sum 'Rb8 Ag6 Pb2 Br24'
_cell_length_a 11.124
_cell_length_b 11.124
_cell_length_c 11.124
_cell_angle_alpha 90.00
_cell_angle_beta 90.00
_cell_angle_gamma 90.00
_symmetry_space_group_name_H-M 'I m -3 m'
_symmetry_Int_Tables_number 229
_symmetry_space_group_name_Hall '-I 4 2 3'
loop_
_atom_site_label
_atom_site_fract_x
_atom_site_fract_y
_atom_site_fract_z
Rb1 0.250 0.250 0.250
Ag1 0.000 0.000 0.500
Pb1 0.000 0.000 0.000
Br1 0.000 0.000 0.257
Br2 0.000 0.250 0.500

---

# ZrScPbBr (PBE-GGA, optimized geometry)
# Density of states at the Fermi level, states/eV/atom: 0.646
# Size of the total moment, μB per formula unit: 0.00
# Raw total energy, eV/atom: -5.58
data_ZrScPbBr
_chemical_formula_sum 'Zr1 Sc1 Pb1 Br1'
_cell_length_a 3.412
_cell_length_b 3.415
_cell_length_c 11.182
_cell_angle_alpha 81.30
_cell_angle_beta 82.90
_cell_angle_gamma 60.03
_symmetry_space_group_name_H-M 'P 1'
_symmetry_Int_Tables_number 1
loop_
_symmetry_equiv_pos_as_xyz
'x,y,z'
loop_
_atom_site_label
_atom_site_fract_x
_atom_site_fract_y
_atom_site_fract_z
Zr1 0.000 0.000 0.000
Sc1 0.380 0.421 0.778
Pb1 0.616 0.570 0.242
Br1 0.749 0.821 0.608